(1)
Entry from the Alexandria database: a relaxed structure of Al2BPt (GGA-PBEsol).

The structure in extended XYZ format:
```
8
Lattice="-3.3766 -0.9209 -2.1655 0.2870 -3.9203 1.2196 -2.5179 3.8984 6.1791" Properties=species:S:1:pos:R:3 pbc="T T T"
B -3.7196 0.2785 1.7703
B -1.5448 -2.4206 -0.4729
Al -1.8057 -2.8450 1.6965
Al -3.3152 -1.2573 0.2107
Al -2.2609 2.1316 4.5743
Al -3.8331 0.0852 3.9850
Pt -1.8878 -1.2212 3.4629
Pt 0.0000 0.0000 0.0000
```

Output
Symmetry: I-42d, No. 122
Size of the total moment (μB/cell): 0.00
Theoretical density (g/cm³): 7.1
Final energy (eV per atom): -5.32



(2)
Entry from the Alexandria database: a relaxed structure of AlB2Pt2 (GGA-PBEsol).

The structure in extended XYZ format:
```
5
Lattice="3.1901 0.0000 0.0000 0.0000 3.1901 0.0000 -1.5951 -1.5951 5.8605" Properties=species:S:1:pos:R:3 pbc="T T T"
B 0.0000 1.5951 2.9302
B 1.5951 0.0000 2.9302
Al 0.0000 0.0000 0.0000
Pt 0.0000 0.0000 4.3927
Pt 1.5951 1.5951 1.4678
```

Output
Symmetry: I4/mmm, No. 139
Size of the total moment (μB/cell): 0.00
Theoretical density (g/cm³): 12.2
Final energy (eV per atom): -6.71